VASP calculation (meta-GGA SCAN) on a PBEsol-optimized structure of NbBiS2Cl.

Uncorrected energy   -140.5 eV per cell
Raw formation energy   -29.4 kJ/mol of atoms
N(E_F)   0.915 states/eV per atom

a = 4.8038 Å, b = 4.8038 Å, c = 4.7806 Å
α = 90.00°, β = 90.00°, γ = 90.00°
Space group P4/mmm (No. 123)
Symmetry-distinct sites (fractional):
Nb 0.0000 0.0000 0.0000 (multiplicity 1)
Bi 0.5000 0.5000 0.5000 (multiplicity 1)
S 0.0000 0.5000 0.0000 (multiplicity 2)
Cl 0.0000 0.0000 0.5000 (multiplicity 1)